# SmEr3Ru2

Crystalline SmEr3Ru2 at its relaxed geometry (GGA-PBE, Alexandria).

abc: 3.3977 3.3977 12.3048
angles: 90.00 90.00 90.00
Space group P4/mmm (No. 123)
Inequivalent atoms, fractional coordinates:
Sm 0.0000 0.0000 0.0000 [1 per cell]
Er 0.5000 0.5000 0.2308 [2 per cell]
Er 0.5000 0.5000 0.5000 [1 per cell]
Ru 0.0000 0.0000 0.3578 [2 per cell]

Calculated values
The calculation puts the total DFT energy (no corrections) at -6.48 eV per atom. For the total magnetic moment, the calculation gives 0.000 μB/f.u. The formation energy from the elements is -0.324 eV per atom.